(1)
Below is P4PtW after structural relaxation, with properties calculated at the GGA-PBEsol level.

a = 4.8904 Å, b = 4.8904 Å, c = 4.8904 Å
α = 60.00°, β = 60.00°, γ = 60.00°
Positions (direct):
P 0.1246 0.1246 0.1246
P 0.1246 0.1246 0.6261
P 0.1246 0.6261 0.1246
P 0.6261 0.1246 0.1246
Pt 0.5000 0.5000 0.5000
W 0.7500 0.7500 0.7500

## Properties
symmetry: F-43m (216)

(2)
Below is PPtW2 after structural relaxation, with properties calculated at the GGA-PBEsol level.

a = 4.3974 Å, b = 4.3974 Å, c = 4.3974 Å
α = 60.00°, β = 60.00°, γ = 60.00°
Positions (direct):
P 0.0000 0.0000 0.0000
Pt 0.7500 0.7500 0.7500
W 0.2500 0.2500 0.2500
W 0.5000 0.5000 0.5000

## Properties
symmetry: F-43m (216)

(3)
Below is P2PtW after structural relaxation, with properties calculated at the GGA-PBEsol level.

a = 4.2717 Å, b = 4.2717 Å, c = 4.2717 Å
α = 60.00°, β = 60.00°, γ = 60.00°
Positions (direct):
P 0.2500 0.2500 0.2500
P 0.7500 0.7500 0.7500
Pt 0.0000 0.0000 0.0000
W 0.5000 0.5000 0.5000

## Properties
symmetry: Fm-3m (225)
relative energy among the computed polymorphs: 0.3311 eV/atom

(4)
Below is PPtW2 after structural relaxation, with properties calculated at the GGA-PBEsol level.

a = 4.5533 Å, b = 4.5533 Å, c = 2.7971 Å
α = 90.00°, β = 90.00°, γ = 90.00°
Positions (direct):
P 0.0000 0.0000 0.0000
Pt 0.5000 0.5000 0.0000
W 0.0000 0.5000 0.5000
W 0.5000 0.0000 0.5000

## Properties
symmetry: P4/mmm (123)

(5)
Below is P2PtW after structural relaxation, with properties calculated at the GGA-PBEsol level.

a = 3.0949 Å, b = 3.8339 Å, c = 4.9082 Å
α = 90.00°, β = 90.00°, γ = 90.00°
Positions (direct):
P 0.0000 0.0000 0.0000
P 0.5000 0.0000 0.5000
Pt 0.0000 0.5000 0.5000
W 0.5000 0.5000 0.0000

## Properties
symmetry: Pmmm (47)
relative energy among the computed polymorphs: 0.5290 eV/atom

(6)
Below is YP2Pt after structural relaxation, with properties calculated at the GGA-PBEsol level.

a = 4.7284 Å, b = 4.7284 Å, c = 4.7284 Å
α = 130.74°, β = 108.57°, γ = 91.65°
Positions (direct):
Y 0.0000 0.0000 0.0000
P 0.3050 0.8050 0.5000
P 0.6950 0.1950 0.5000
Pt 0.5000 0.5000 0.0000

## Properties
symmetry: Immm (71)
relative energy among the computed polymorphs: 0.0000 eV/atom

(7)
Below is YPPt3 after structural relaxation, with properties calculated at the GGA-PBEsol level.

a = 4.5328 Å, b = 4.5328 Å, c = 4.5328 Å
α = 90.00°, β = 90.00°, γ = 90.00°
Positions (direct):
Y 0.0000 0.0000 0.0000
P 0.5000 0.5000 0.5000
Pt 0.0000 0.5000 0.5000
Pt 0.5000 0.0000 0.5000
Pt 0.5000 0.5000 0.0000

## Properties
symmetry: Pm-3m (221)

(8)
Below is YPPt after structural relaxation, with properties calculated at the GGA-PBEsol level.

a = 4.8128 Å, b = 4.8128 Å, c = 4.8128 Å
α = 133.31°, β = 133.31°, γ = 68.16°
Positions (direct):
Y 0.0000 0.0000 0.0000
P 0.3420 0.3420 0.0000
Pt 0.6377 0.6377 0.0000

## Properties
symmetry: I4mm (107)

(9)
Below is YPPt2 after structural relaxation, with properties calculated at the GGA-PBEsol level.

a = 5.2653 Å, b = 5.2653 Å, c = 5.2653 Å
α = 142.81°, β = 129.52°, γ = 64.34°
Positions (direct):
Y 0.0000 0.0000 0.0000
P 0.5000 0.5000 0.0000
Pt 0.2837 0.7837 0.5000
Pt 0.7163 0.2163 0.5000

## Properties
symmetry: Immm (71)

(10)
Below is YPPt2 after structural relaxation, with properties calculated at the GGA-PBEsol level.

a = 4.5934 Å, b = 4.5934 Å, c = 4.5934 Å
α = 60.00°, β = 60.00°, γ = 60.00°
Positions (direct):
Y 0.0000 0.0000 0.0000
P 0.2500 0.2500 0.2500
Pt 0.5000 0.5000 0.5000
Pt 0.7500 0.7500 0.7500

## Properties
symmetry: F-43m (216)

(11)
Below is YP2Pt after structural relaxation, with properties calculated at the GGA-PBEsol level.

a = 3.5652 Å, b = 3.5652 Å, c = 5.5534 Å
α = 90.00°, β = 90.00°, γ = 90.00°
Positions (direct):
Y 0.0000 0.0000 0.0000
P 0.0000 0.0000 0.5062
P 0.5000 0.5000 0.1747
Pt 0.5000 0.5000 0.6117

## Properties
symmetry: P4mm (99)
relative energy among the computed polymorphs: 0.1196 eV/atom

(12)
Below is YPPt after structural relaxation, with properties calculated at the GGA-PBEsol level.

a = 4.0848 Å, b = 4.0848 Å, c = 3.8366 Å
α = 90.00°, β = 90.00°, γ = 120.00°
Positions (direct):
Y 0.0000 0.0000 0.0000
P 0.3333 0.6667 0.5000
Pt 0.6667 0.3333 0.5000

## Properties
symmetry: P-6m2 (187)

| no. | E_form (eV/atom) | magnetic moment (μB per formula unit) |
| --- | --- | --- |
| 1 | 0.694 | 0.00 |
| 2 | 0.477 | 0.00 |
| 3 | 0.049 | 0.00 |
| 4 | 0.000 | 0.00 |
| 5 | 0.246 | 0.00 |
| 6 | -0.828 | 0.00 |
| 7 | -0.622 | 0.00 |
| 8 | -0.784 | 0.00 |
| 9 | -0.817 | 0.00 |
| 10 | -0.556 | 0.00 |
| 11 | -0.708 | 0.00 |
| 12 | -1.408 | 0.00 |